The following is a DFT calculation (PBE) of Tb4Y3Ho4 after structural relaxation.

a b c (Å): 5.642 6.637 10.507
angles (deg): 90.00 90.00 115.15
Atoms (fractional coordinates):
Ho: 0.754 0.509 0.791
Ho: 0.754 0.509 0.209
Ho: 0.956 0.913 0.000
Ho: 0.893 0.786 0.500
Y: 0.254 0.508 0.000
Y: 0.406 0.812 0.298
Y: 0.406 0.812 0.702
Tb: 0.101 0.203 0.708
Tb: 0.549 0.098 0.000
Tb: 0.101 0.203 0.292
Tb: 0.623 0.247 0.500

Calculated values
Space group: No. 38
Uncorrected energy, eV per atom: -4.966

The following is a DFT calculation (PBE) of Mg6AlHg after structural relaxation.

a b c (Å): 4.376 4.376 8.894
angles (deg): 90.00 90.00 90.00
Atoms (fractional coordinates):
Mg: 0.500 0.000 0.255
Mg: 0.000 0.500 0.745
Mg: 0.500 0.000 0.745
Mg: 0.500 0.500 0.500
Mg: 0.000 0.500 0.255
Mg: 0.500 0.500 0.000
Hg: 0.000 0.000 0.000
Al: 0.000 0.000 0.500

Calculated values
Space group: No. 123
Uncorrected energy, eV per atom: -1.773

What did the first record say?
The following is a DFT calculation (PBE) of Tb4Y3Ho4 after structural relaxation.

a b c (Å): 5.642 6.637 10.507
angles (deg): 90.00 90.00 115.15
Atoms (fractional coordinates):
Ho: 0.754 0.509 0.791
Ho: 0.754 0.509 0.209
Ho: 0.956 0.913 0.000
Ho: 0.893 0.786 0.500
Y: 0.254 0.508 0.000
Y: 0.406 0.812 0.298
Y: 0.406 0.812 0.702
Tb: 0.101 0.203 0.708
Tb: 0.549 0.098 0.000
Tb: 0.101 0.203 0.292
Tb: 0.623 0.247 0.500

Calculated values
Space group: No. 38
Uncorrected energy, eV per atom: -4.966